Version one
Density functional theory data (PBE) for an optimized crystal structure of CeZnAu3.

abc: 5.6221 5.6580 13.1053
angles: 90.00 90.00 90.00
Site moments in Bohr magnetons follow the coordinates.
Fractional positions:
Ce  0.5000  0.0000  0.0000  0.85
Ce  0.0000  0.5000  0.5000  0.85
Ce  0.0000  0.5000  0.0000  0.85
Ce  0.5000  0.0000  0.5000  0.85
Zn  0.3172  0.8084  0.2500  0.01
Zn  0.8172  0.6916  0.7500  0.01
Zn  0.6828  0.1916  0.7500  0.01
Zn  0.1828  0.3084  0.2500  0.01
Au  0.9851  0.9948  0.8925  0.01
Au  0.4851  0.5052  0.3925  0.01
Au  0.4851  0.5052  0.1075  0.01
Au  0.0149  0.0052  0.3925  0.01
Au  0.0149  0.0052  0.1075  0.01
Au  0.5149  0.4948  0.6075  0.01
Au  0.5149  0.4948  0.8925  0.01
Au  0.9851  0.9948  0.6075  0.01
Au  0.6505  0.1484  0.2500  0.02
Au  0.1505  0.3516  0.7500  0.02
Au  0.3495  0.8516  0.7500  0.02
Au  0.8495  0.6484  0.2500  0.02

Results
M_tot (μB per cell): 4.14



Version two
Density functional theory data (PBE) for an optimized crystal structure of CeZnAu3.

abc: 4.8591 9.1724 9.2532
angles: 90.00 90.00 90.00
Site moments in Bohr magnetons follow the coordinates.
Fractional positions:
Ce  0.7500  0.7597  0.9948  0.66
Ce  0.2500  0.7403  0.4948  0.66
Ce  0.7500  0.2597  0.5052  0.66
Ce  0.2500  0.2403  0.0052  0.66
Zn  0.2500  0.0988  0.6646  0.01
Zn  0.2500  0.5988  0.8354  0.01
Zn  0.7500  0.4012  0.1646  0.01
Zn  0.7500  0.9012  0.3354  0.01
Au  0.2500  0.5815  0.1183  0.00
Au  0.7500  0.4185  0.8817  0.00
Au  0.2500  0.0815  0.3817  0.00
Au  0.7500  0.9185  0.6183  0.00
Au  0.2500  0.3848  0.6636  0.00
Au  0.7500  0.1152  0.1636  0.00
Au  0.2500  0.8848  0.8364  0.00
Au  0.7500  0.6024  0.6495  0.00
Au  0.2500  0.3976  0.3505  0.00
Au  0.7500  0.1024  0.8505  0.00
Au  0.7500  0.6152  0.3364  0.00
Au  0.2500  0.8976  0.1495  0.00

Results
M_tot (μB per cell): 3.09



Most stable structure, least stable structure: version two, version one.



Version one
Density functional theory data (PBE) for an optimized crystal structure of Ce3ZnAu2.

abc: 3.8416 5.0419 8.0704
angles: 108.20 90.00 90.00
Site moments in Bohr magnetons follow the coordinates.
Fractional positions:
Ce  0.5000  0.5000  0.0000  0.60
Ce  0.5000  0.8249  0.6497  0.81
Ce  0.5000  0.1751  0.3503  0.81
Zn  0.0000  0.0000  0.0000  -0.01
Au  0.0000  0.3460  0.6920  -0.01
Au  0.0000  0.6540  0.3080  -0.01

Results
M_tot (μB per cell): 2.63



Version two
Density functional theory data (PBE) for an optimized crystal structure of Ce3ZnAu2.

abc: 6.5624 6.3939 8.4960
angles: 112.10 112.72 90.00
Site moments in Bohr magnetons follow the coordinates.
Fractional positions:
Ce  0.4043  0.6674  0.3347  0.73
Ce  0.5957  0.3326  0.6653  0.73
Ce  0.0696  0.8326  0.6653  0.73
Ce  0.9304  0.1674  0.3347  0.73
Ce  0.5000  0.7500  0.0000  0.59
Ce  0.5000  0.2500  0.0000  0.59
Zn  0.0000  0.2500  0.0000  0.00
Zn  0.0000  0.7500  0.0000  0.00
Au  0.3463  0.1261  0.2522  0.01
Au  0.6537  0.8739  0.7478  0.01
Au  0.0942  0.3739  0.7478  0.01
Au  0.9058  0.6261  0.2522  0.01

Results
M_tot (μB per cell): 4.96



Most stable structure, least stable structure: version one, version two.